First-principles (PBE-GGA) data for crystalline AgIBr at its relaxed geometry, as listed in Alexandria.

Properties
Space group ... P3m1, No. 156
ρ ... 5.79 g cm⁻³
DOS at the Fermi energy ... 1.782 states/eV per atom

Unit cell a=4.176 b=4.176 c=5.975 alpha=90.00 beta=90.00 gamma=120.00
Sites, in units of the cell vectors:
Ag: 0.000 0.000 0.000
I: 0.333 0.667 0.717
Br: 0.667 0.333 0.246



First-principles (PBE-GGA) data for crystalline Ag5I4Br2 at its relaxed geometry, as listed in Alexandria.

Properties
Space group ... R-3m, No. 166
ρ ... 5.67 g cm⁻³
DOS at the Fermi energy ... 0.889 states/eV per atom

Unit cell a=21.500 b=21.500 c=21.500 alpha=11.67 beta=11.67 gamma=11.67
Sites, in units of the cell vectors:
Ag: 0.000 0.000 0.000
Ag: 0.118 0.118 0.118
Ag: 0.282 0.282 0.282
Ag: 0.718 0.718 0.718
Ag: 0.882 0.882 0.882
I: 0.074 0.074 0.074
I: 0.196 0.196 0.196
I: 0.804 0.804 0.804
I: 0.926 0.926 0.926
Br: 0.357 0.357 0.357
Br: 0.643 0.643 0.643



First-principles (PBE-GGA) data for crystalline AgIBr at its relaxed geometry, as listed in Alexandria.

Properties
Space group ... C2/m, No. 12
ρ ... 5.04 g cm⁻³
DOS at the Fermi energy ... 0.490 states/eV per atom

Unit cell a=6.740 b=6.740 c=8.183 alpha=98.63 beta=98.63 gamma=34.42
Sites, in units of the cell vectors:
Ag: 0.000 0.000 0.000
Ag: 0.500 0.500 0.500
I: 0.135 0.135 0.641
I: 0.865 0.865 0.359
Br: 0.379 0.379 0.862
Br: 0.621 0.621 0.138



First-principles (PBE-GGA) data for crystalline Ag2IBr5 at its relaxed geometry, as listed in Alexandria.

Properties
Space group ... P2_1/c, No. 14
ρ ... 3.94 g cm⁻³

Unit cell a=13.419 b=7.372 c=13.854 alpha=90.00 beta=113.94 gamma=90.00
Sites, in units of the cell vectors:
Ag: 0.078 0.005 0.385
Ag: 0.078 0.495 0.885
Ag: 0.337 0.026 0.678
Ag: 0.337 0.474 0.178
Ag: 0.663 0.526 0.822
Ag: 0.663 0.974 0.322
Ag: 0.922 0.505 0.115
Ag: 0.922 0.995 0.615
I: 0.000 0.000 0.000
I: 0.000 0.500 0.500
I: 0.500 0.000 0.000
I: 0.500 0.500 0.500
Br: 0.034 0.681 0.687
Br: 0.034 0.819 0.187
Br: 0.103 0.199 0.607
Br: 0.103 0.301 0.107
Br: 0.260 0.650 0.002
Br: 0.260 0.850 0.502
Br: 0.327 0.174 0.850
Br: 0.327 0.326 0.350
Br: 0.468 0.170 0.161
Br: 0.468 0.330 0.661
Br: 0.532 0.670 0.339
Br: 0.532 0.830 0.839
Br: 0.673 0.674 0.650
Br: 0.673 0.826 0.150
Br: 0.740 0.150 0.498
Br: 0.740 0.350 0.998
Br: 0.897 0.699 0.893
Br: 0.897 0.801 0.393
Br: 0.966 0.181 0.813
Br: 0.966 0.319 0.313



First-principles (PBE-GGA) data for crystalline Ag2IBr4 at its relaxed geometry, as listed in Alexandria.

Properties
Space group ... I4_1/a, No. 88
ρ ... 4.43 g cm⁻³
DOS at the Fermi energy ... 0.506 states/eV per atom

Unit cell a=9.609 b=9.609 c=9.609 alpha=130.85 beta=130.85 gamma=72.04
Sites, in units of the cell vectors:
Ag: 0.000 0.000 0.000
Ag: 0.500 0.000 0.000
Ag: 0.500 0.000 0.500
Ag: 0.500 0.500 0.500
I: 0.125 0.375 0.750
I: 0.875 0.625 0.250
Br: 0.136 0.891 0.776
Br: 0.140 0.364 0.255
Br: 0.385 0.640 0.276
Br: 0.391 0.115 0.755
Br: 0.609 0.885 0.245
Br: 0.615 0.360 0.724
Br: 0.860 0.636 0.745
Br: 0.864 0.109 0.224



First-principles (PBE-GGA) data for crystalline AgIBr at its relaxed geometry, as listed in Alexandria.

Properties
Space group ... P1, No. 1
ρ ... 4.85 g cm⁻³

Unit cell a=4.475 b=6.599 c=7.910 alpha=67.34 beta=89.42 gamma=89.10
Sites, in units of the cell vectors:
Ag: 0.000 0.000 0.000
Ag: 0.347 0.514 0.750
I: 0.112 0.965 0.659
I: 0.326 0.402 0.439
Br: 0.496 0.840 0.210
Br: 0.840 0.417 0.957



Energy values (in eV/atom) by entry order: -2.12 -2.38 -2.20 -2.11 -2.07 -2.23.